[1]
Compound: SrCa2Sb
Source: Alexandria via LeMat-Bulk
Functional: PBEsol
Structure: relaxed

**Uncorrected formation energy**: -0.54 eV per atom

a = 5.0163 Å, b = 5.0163 Å, c = 5.0967 Å
α = 90.00°, β = 90.00°, γ = 90.00°
Sites, in units of the cell vectors:
Ca: 0.5000 0.0000 0.0000
Ca: 0.0000 0.5000 0.0000
Sr: 0.0000 0.0000 0.5000
Sb: 0.5000 0.5000 0.5000

[2]
Compound: SmCo9Si4
Source: Alexandria via LeMat-Bulk
Functional: PBEsol
Structure: relaxed

**Uncorrected formation energy**: -0.56 eV per atom

a = 7.6294 Å, b = 7.7963 Å, c = 7.6294 Å
α = 119.29°, β = 90.00°, γ = 119.29°
Sites, in units of the cell vectors:
Co: 0.5512 0.3597 0.0512
Co: 0.9488 0.6403 0.1915
Co: 0.4293 0.0000 0.7002
Co: 0.3085 0.3597 0.5512
Co: 0.6915 0.6403 0.4488
Co: 0.5707 0.0000 0.2998
Co: 0.7002 0.0000 0.5707
Co: 0.2998 0.0000 0.4293
Co: 0.8085 0.3597 0.3085
Co: 0.0000 0.0000 0.5000
Co: 0.5000 0.0000 0.0000
Co: 0.7998 0.0000 0.0707
Co: 0.4488 0.6403 0.9488
Co: 0.9293 0.0000 0.7998
Co: 0.0707 0.0000 0.2002
Co: 0.1915 0.6403 0.6915
Co: 0.2002 0.0000 0.9293
Co: 0.0512 0.3597 0.8085
Si: 0.4512 0.2424 0.2912
Si: 0.2088 0.7576 0.0488
Si: 0.2912 0.2424 0.7912
Si: 0.5488 0.7576 0.7088
Si: 0.7912 0.2424 0.9512
Si: 0.9512 0.2424 0.4512
Si: 0.0488 0.7576 0.5488
Si: 0.7088 0.7576 0.2088
Sm: 0.7500 0.5000 0.7500
Sm: 0.2500 0.5000 0.2500

[3]
Compound: CsSr3
Source: Alexandria via LeMat-Bulk
Functional: PBEsol
Structure: relaxed

**Energy of formation**: 0.16 eV per atom

a = 6.1876 Å, b = 6.1876 Å, c = 6.1876 Å
α = 90.00°, β = 90.00°, γ = 90.00°
Sites, in units of the cell vectors:
Sr: 0.5000 0.5000 0.0000
Sr: 0.0000 0.5000 0.5000
Sr: 0.5000 0.0000 0.5000
Cs: 0.0000 0.0000 0.0000

Calculated magnetic moment (μB/cell), listed in the same order as above: 0.000, 6.141, 0.000
Calculated calculated volume (Å³/f.u.), listed in the same order as above: 128.3, 163.8, 236.9